(1)
VASP calculation (PBE) on an optimized crystal structure of CaGa2O4.

Properties
- density of states at the Fermi level (states/eV/cell) = 0.00
- formation energy without anion corrections (eV per atom) = -2.125
- magnetization (μB per cell) = 0.00
- SG = No. 111
- E above lowest polymorph (kcal/mol of atoms) = 2.59

Cell: 4.3589 4.3589 5.5201 Å, 90.00 90.00 90.00°
Positions (direct):
Ca 0.0000 0.0000 0.0000
Ga 0.5000 0.0000 0.5000
Ga 0.0000 0.5000 0.5000
O 0.7530 0.2470 0.6957
O 0.2470 0.2470 0.3043
O 0.2470 0.7530 0.6957
O 0.7530 0.7530 0.3043

(2)
VASP calculation (PBE) on an optimized crystal structure of LiHCl.

Properties
- density of states at the Fermi level (states/eV/cell) = 1.06
- magnetization (μB per cell) = 0.00
- SG = No. 47
- E above lowest polymorph (kcal/mol of atoms) = 17.76

Cell: 5.3939 2.5198 3.0394 Å, 90.00 90.00 90.00°
Positions (direct):
Li 0.0000 0.5000 0.0000
H 0.0000 0.0000 0.5000
Cl 0.5000 0.5000 0.0000

(3)
VASP calculation (PBE) on an optimized crystal structure of ErTmNb4.

Properties
- density of states at the Fermi level (states/eV/cell) = 12.11
- magnetization (μB per cell) = 0.00
- SG = No. 216
- ΔE_f (eV per atom) = 0.158

Cell: 5.7017 5.7017 5.7017 Å, 60.00 60.00 60.00°
Positions (direct):
Nb 0.6251 0.6251 0.1248
Nb 0.6251 0.1248 0.6251
Nb 0.6251 0.6251 0.6251
Nb 0.1248 0.6251 0.6251
Tm 0.2500 0.2500 0.2500
Er 0.0000 0.0000 0.0000

(4)
VASP calculation (PBE) on an optimized crystal structure of IrPtF2.

Properties
- density of states at the Fermi level (states/eV/cell) = 11.25
- formation energy without anion corrections (eV per atom) = 0.286
- magnetization (μB per cell) = 2.46
- SG = No. 122
- E above lowest polymorph (kcal/mol of atoms) = 18.31

Cell: 7.3237 7.3237 5.7289 Å, 50.27 50.27 90.00°
Each line ends with the local moment (μB).
Positions (direct):
Ir 0.5000 0.5000 0.0000  0.71
Ir 0.2500 0.7500 0.5000  0.71
Pt 0.0000 0.0000 0.0000  0.33
Pt 0.7500 0.2500 0.5000  0.33
F 0.5061 0.1250 0.2500  0.06
F 0.2439 0.6250 0.2500  0.06
F 0.3750 0.4939 0.7500  0.06
F 0.8750 0.7561 0.7500  0.06

(5)
VASP calculation (PBE) on an optimized crystal structure of MnCr2Tc.

Properties
- density of states at the Fermi level (states/eV/cell) = 4.51
- magnetization (μB per cell) = 0.00
- SG = No. 44
- E above lowest polymorph (kcal/mol of atoms) = 0.54
- ΔE_f (eV per atom) = 0.077

Cell: 4.8069 4.8069 4.8069 Å, 144.84 129.34 63.16°
Positions (direct):
Cr 0.9887 0.9887 0.0000
Cr 0.7588 0.2588 0.5000
Mn 0.5086 0.5086 0.0000
Tc 0.2439 0.7439 0.5000

(6)
VASP calculation (PBE) on an optimized crystal structure of YPa2Ge3.

Properties
- density of states at the Fermi level (states/eV/cell) = 8.45
- magnetization (μB per cell) = 0.00
- SG = No. 71
- ΔE_f (eV per atom) = -0.580

Cell: 5.8547 7.1554 8.3357 Å, 106.93 90.00 114.15°
Positions (direct):
Y 0.0000 0.0000 0.2500
Y 0.0000 0.0000 0.7500
Pa 0.3339 0.6677 0.4169
Pa 0.3337 0.6677 0.9169
Pa 0.6663 0.3323 0.0831
Pa 0.6661 0.3323 0.5831
Ge 0.5000 0.0000 0.7500
Ge 0.5000 0.0000 0.2500
Ge 0.8285 0.6572 0.9143
Ge 0.1713 0.3428 0.5857
Ge 0.8287 0.6572 0.4143
Ge 0.1715 0.3428 0.0857